Record 1
# Dy2InGa3Ni4 (PBE, relaxed)
data_Dy2InGa3Ni4
_cell_length_a 4.0936
_cell_length_b 4.0936
_cell_length_c 10.2443
_cell_angle_alpha 90.00
_cell_angle_beta 90.00
_cell_angle_gamma 90.00
_symmetry_space_group_name_H-M 'P -4 m 2'
_symmetry_Int_Tables_number 115
loop_
_symmetry_equiv_pos_as_xyz
'x,y,z'
'y,-x,-z'
'-x,-y,z'
'-y,x,-z'
'-x,y,z'
'-y,-x,-z'
'x,-y,z'
'y,x,-z'
loop_
_atom_site_label
_atom_site_fract_x
_atom_site_fract_y
_atom_site_fract_z
Dy1 0.0000 0.5000 0.2364
In1 0.0000 0.0000 0.5000
Ga1 0.0000 0.5000 0.8787
Ga2 0.5000 0.5000 0.5000
Ni1 0.0000 0.0000 0.0000
Ni2 0.0000 0.5000 0.6495
Ni3 0.5000 0.5000 0.0000
# - DOS at the Fermi energy (states/eV/f.u.) = 8.26
# - volume (Å³/f.u.) = 172
# - calculated total energy (eV for the cell shown) = -49.123
# - ΔH_f (0 K) (eV/f.u.) = -5.0
# - crystal system = tetragonal


Record 2
# Ta2CuOs (PBE, relaxed)
data_Ta2CuOs
_cell_length_a 3.0731
_cell_length_b 3.0731
_cell_length_c 6.6927
_cell_angle_alpha 90.00
_cell_angle_beta 90.00
_cell_angle_gamma 90.00
_symmetry_space_group_name_H-M 'P 4/m m m'
_symmetry_Int_Tables_number 123
_symmetry_space_group_name_Hall '-P 4 2'
loop_
_atom_site_label
_atom_site_fract_x
_atom_site_fract_y
_atom_site_fract_z
Ta1 0.0000 0.0000 0.2476
Cu1 0.5000 0.5000 0.0000
Os1 0.5000 0.5000 0.5000
# - DOS at the Fermi energy (states/eV/f.u.) = 1.96
# - volume (Å³/f.u.) = 63
# - calculated total energy (eV for the cell shown) = -39.273
# - ΔH_f (0 K) (eV/f.u.) = -0.2
# - crystal system = tetragonal


Record 3
# CrOs2Se (PBE, relaxed)
data_CrOs2Se
_cell_length_a 4.0702
_cell_length_b 4.0702
_cell_length_c 6.9817
_cell_angle_alpha 90.00
_cell_angle_beta 90.00
_cell_angle_gamma 90.00
_symmetry_space_group_name_H-M 'I 4/m m m'
_symmetry_Int_Tables_number 139
_symmetry_space_group_name_Hall '-I 4 2'
loop_
_atom_site_label
_atom_site_fract_x
_atom_site_fract_y
_atom_site_fract_z
Cr1 0.0000 0.0000 0.0000
Os1 0.0000 0.5000 0.2500
Se1 0.0000 0.0000 0.5000
# - DOS at the Fermi energy (states/eV/f.u.) = 2.84
# - volume (Å³/f.u.) = 58
# - calculated total energy (eV for the cell shown) = -66.175
# - crystal system = tetragonal


Record 4
# KBaMg3 (PBE, relaxed)
data_KBaMg3
_cell_length_a 6.6842
_cell_length_b 6.6842
_cell_length_c 6.6842
_cell_angle_alpha 90.00
_cell_angle_beta 90.00
_cell_angle_gamma 90.00
_symmetry_space_group_name_H-M 'P m -3 m'
_symmetry_Int_Tables_number 221
_symmetry_space_group_name_Hall '-P 4 2 3'
loop_
_atom_site_label
_atom_site_fract_x
_atom_site_fract_y
_atom_site_fract_z
K1 0.0000 0.0000 0.0000
Ba1 0.5000 0.5000 0.5000
Mg1 0.0000 0.5000 0.5000
# - DOS at the Fermi energy (states/eV/f.u.) = 6.22
# - volume (Å³/f.u.) = 299
# - calculated total energy (eV for the cell shown) = -4.516
# - ΔH_f (0 K) (eV/f.u.) = 3.3
# - crystal system = cubic


Record 5
# Tl4Se2F (PBE, relaxed)
data_Tl4Se2F
_cell_length_a 4.9723
_cell_length_b 4.9723
_cell_length_c 17.3019
_cell_angle_alpha 90.00
_cell_angle_beta 90.00
_cell_angle_gamma 90.00
_symmetry_space_group_name_H-M 'I 4/m m m'
_symmetry_Int_Tables_number 139
_symmetry_space_group_name_Hall '-I 4 2'
loop_
_atom_site_label
_atom_site_fract_x
_atom_site_fract_y
_atom_site_fract_z
Tl1 0.0000 0.0000 0.1717
Tl2 0.0000 0.5000 0.0000
Se1 0.0000 0.0000 0.3312
F1 0.0000 0.0000 0.5000
# - DOS at the Fermi energy (states/eV/f.u.) = 5.39
# - volume (Å³/f.u.) = 214
# - calculated total energy (eV for the cell shown) = -42.904
# - crystal system = tetragonal


Record 6
# ScTlMo2Pt (PBE, relaxed)
data_ScTlMo2Pt
_cell_length_a 4.6065
_cell_length_b 4.6065
_cell_length_c 5.1831
_cell_angle_alpha 90.00
_cell_angle_beta 90.00
_cell_angle_gamma 90.00
_symmetry_space_group_name_H-M 'P 4/m m m'
_symmetry_Int_Tables_number 123
_symmetry_space_group_name_Hall '-P 4 2'
loop_
_atom_site_label
_atom_site_fract_x
_atom_site_fract_y
_atom_site_fract_z
Sc1 0.0000 0.0000 0.0000
Tl1 0.0000 0.0000 0.5000
Mo1 0.0000 0.5000 0.0000
Pt1 0.5000 0.5000 0.5000
# - DOS at the Fermi energy (states/eV/f.u.) = 5.80
# - volume (Å³/f.u.) = 110
# - calculated total energy (eV for the cell shown) = -27.498
# - ΔH_f (0 K) (eV/f.u.) = 8.9
# - crystal system = tetragonal


Record 7
# SrGa2SiS6 (PBE, relaxed)
data_SrGa2SiS6
_cell_length_a 13.4015
_cell_length_b 11.4450
_cell_length_c 7.4828
_cell_angle_alpha 90.00
_cell_angle_beta 118.01
_cell_angle_gamma 90.00
_symmetry_space_group_name_H-M 'C 1 2/c 1'
_symmetry_Int_Tables_number 15
loop_
_symmetry_equiv_pos_as_xyz
'x,y,z'
'-x,-y,-z'
'-x,y,-z+1/2'
'x,-y,z+1/2'
'x+1/2,y+1/2,z'
'-x+1/2,-y+1/2,-z'
'-x+1/2,y+1/2,-z+1/2'
'x+1/2,-y+1/2,z+1/2'
loop_
_atom_site_label
_atom_site_fract_x
_atom_site_fract_y
_atom_site_fract_z
Sr1 0.0000 0.1778 0.2500
Ga1 0.1971 0.4383 0.1371
Si1 0.0000 0.1771 0.7500
S1 0.1042 0.0682 0.6682
S2 0.1203 0.2516 0.0291
S3 0.1520 0.4207 0.4019
# - DOS at the Fermi energy (states/eV/f.u.) = 0.00
# - volume (Å³/f.u.) = 253
# - calculated total energy (eV for the cell shown) = -186.615
# - crystal system = monoclinic


Record 8
# Nd2Pu2Rh3 (PBE, relaxed)
data_Nd2Pu2Rh3
_cell_length_a 10.6611
_cell_length_b 4.3595
_cell_length_c 7.8275
_cell_angle_alpha 90.00
_cell_angle_beta 100.13
_cell_angle_gamma 90.00
_symmetry_space_group_name_H-M 'C 1 2/m 1'
_symmetry_Int_Tables_number 12
loop_
_symmetry_equiv_pos_as_xyz
'x,y,z'
'-x,-y,-z'
'-x,y,-z'
'x,-y,z'
'x+1/2,y+1/2,z'
'-x+1/2,-y+1/2,-z'
'-x+1/2,y+1/2,-z'
'x+1/2,-y+1/2,z'
loop_
_atom_site_label
_atom_site_fract_x
_atom_site_fract_y
_atom_site_fract_z
Nd1 0.1273 0.0000 0.3568
Pu1 0.1405 0.5000 0.9215
Rh1 0.0000 0.0000 0.0000
Rh2 0.1902 0.0000 0.7320
# - DOS at the Fermi energy (states/eV/f.u.) = 16.64
# - volume (Å³/f.u.) = 179
# - calculated total energy (eV for the cell shown) = -126.208
# - ΔH_f (0 K) (eV/f.u.) = -2.9
# - crystal system = monoclinic


Record 9
# YMgCd2 (PBE, relaxed)
data_YMgCd2
_cell_length_a 5.0850
_cell_length_b 5.0850
_cell_length_c 7.1639
_cell_angle_alpha 90.00
_cell_angle_beta 90.00
_cell_angle_gamma 90.00
_symmetry_space_group_name_H-M 'I -4 m 2'
_symmetry_Int_Tables_number 119
_symmetry_space_group_name_Hall 'I -4 -2'
loop_
_atom_site_label
_atom_site_fract_x
_atom_site_fract_y
_atom_site_fract_z
Y1 0.0000 0.0000 0.0000
Mg1 0.0000 0.5000 0.7500
Cd1 0.0000 0.0000 0.5000
Cd2 0.0000 0.5000 0.2500
# - DOS at the Fermi energy (states/eV/f.u.) = 1.94
# - volume (Å³/f.u.) = 93
# - calculated total energy (eV for the cell shown) = -21.459
# - ΔH_f (0 K) (eV/f.u.) = -0.8
# - crystal system = tetragonal


Record 10
# ZrTa3Zn (PBE, relaxed)
data_ZrTa3Zn
_cell_length_a 4.7389
_cell_length_b 4.7389
_cell_length_c 4.7389
_cell_angle_alpha 90.00
_cell_angle_beta 90.00
_cell_angle_gamma 90.00
_symmetry_space_group_name_H-M 'P m -3 m'
_symmetry_Int_Tables_number 221
_symmetry_space_group_name_Hall '-P 4 2 3'
loop_
_atom_site_label
_atom_site_fract_x
_atom_site_fract_y
_atom_site_fract_z
Zr1 0.0000 0.0000 0.0000
Ta1 0.0000 0.5000 0.5000
Zn1 0.5000 0.5000 0.5000
# - DOS at the Fermi energy (states/eV/f.u.) = 6.32
# - volume (Å³/f.u.) = 106
# - calculated total energy (eV for the cell shown) = -39.827
# - ΔH_f (0 K) (eV/f.u.) = 5.6
# - crystal system = cubic


Record 11
# AlZn2Ni (PBE, relaxed)
data_AlZn2Ni
_cell_length_a 3.7142
_cell_length_b 3.7142
_cell_length_c 3.8603
_cell_angle_alpha 90.00
_cell_angle_beta 90.00
_cell_angle_gamma 90.00
_symmetry_space_group_name_H-M 'P 4/m m m'
_symmetry_Int_Tables_number 123
_symmetry_space_group_name_Hall '-P 4 2'
loop_
_atom_site_label
_atom_site_fract_x
_atom_site_fract_y
_atom_site_fract_z
Al1 0.0000 0.0000 0.0000
Zn1 0.0000 0.5000 0.5000
Ni1 0.5000 0.5000 0.0000
# - DOS at the Fermi energy (states/eV/f.u.) = 1.32
# - volume (Å³/f.u.) = 53
# - calculated total energy (eV for the cell shown) = -12.888
# - ΔH_f (0 K) (eV/f.u.) = -0.8
# - crystal system = tetragonal


Record 12
# DyRh2O6 (PBE, relaxed)
data_DyRh2O6
_cell_length_a 5.5026
_cell_length_b 5.5026
_cell_length_c 5.0286
_cell_angle_alpha 90.00
_cell_angle_beta 90.00
_cell_angle_gamma 120.00
_symmetry_space_group_name_H-M 'P -3 1 m'
_symmetry_Int_Tables_number 162
_symmetry_space_group_name_Hall '-P 3 2'
loop_
_atom_site_label
_atom_site_fract_x
_atom_site_fract_y
_atom_site_fract_z
Dy1 0.0000 0.0000 0.0000
Rh1 0.3333 0.6667 0.0000
O1 0.0000 0.3659 0.2006
# - DOS at the Fermi energy (states/eV/f.u.) = 1.76
# - volume (Å³/f.u.) = 132
# - calculated total energy (eV for the cell shown) = -60.709
# - crystal system = trigonal